The following is a PBE calculation of an optimized crystal structure of ThAlNiPd, from the Alexandria database.

a b c (Å): 7.471 4.322 5.333
angles (deg): 90.00 117.57 90.00
Space group Cm (No. 8)
Asymmetric unit:
1 Th 0.000 0.000 0.000 [2 per cell]
2 Al 0.009 0.500 0.528 [2 per cell]
3 Ni 0.210 0.000 0.632 [2 per cell]
4 Pd 0.289 0.500 0.367 [2 per cell]

For the uncorrected energy, the calculation gives -6.239 eV/atom. Its crystal system is monoclinic. For the polymorph energy (0 for the lowest one), the calculation gives 0 meV per atom. The formation energy is -0.70 eV/atom. As for the size of the total moment: 0.0 μB per formula unit. The calculated density is 9.2 g cm⁻³.